# 1
Compound: BaPdW
Source: the Alexandria database
Functional: GGA-PBE
Structure: relaxed

```
BaPdW
1.0
3.905 0.000 0.000
0.000 3.905 0.000
0.000 0.000 10.916
Pd Ba W
2 2 2
direct
0.000 0.500 0.322
0.500 0.000 0.678
0.000 0.500 0.814
0.500 0.000 0.186
0.000 0.000 0.500
0.500 0.500 0.500
```

Summary:
DOS(E_F) in states/eV/cell: 5.100
ΔE to the lowest computed polymorph in kJ/mol of formula units: 11
Spin magnetization in μB/cell: 0.0
Final energy in eV per atom: -6.40
ΔE_f in meV per atom: 293
Symmetry: P4/nmm
V in Å³/atom: 27.75


# 2
Compound: BaPdW3
Source: the Alexandria database
Functional: GGA-PBE
Structure: relaxed

```
BaPdW3
1.0
4.954 0.000 0.000
0.000 4.954 0.000
0.000 0.000 4.954
Pd Ba W
1 1 3
direct
0.000 0.000 0.000
0.500 0.500 0.500
0.000 0.500 0.000
0.000 0.000 0.500
0.500 0.000 0.000
```

Summary:
DOS(E_F) in states/eV/cell: 7.702
ΔE to the lowest computed polymorph in kJ/mol of formula units: 0
Spin magnetization in μB/cell: 2.9
Final energy in eV per atom: -7.05
ΔE_f in meV per atom: 2148
Symmetry: Pm-3m
V in Å³/atom: 24.32


# 3
Compound: BaPdW
Source: the Alexandria database
Functional: GGA-PBE
Structure: relaxed

```
BaPdW
1.0
3.715 0.009 0.000
0.041 10.574 -0.262
0.003 -0.792 4.284
Pd Ba W
2 2 2
direct
0.292 0.054 0.989
0.298 0.692 0.807
0.800 0.559 0.238
0.789 0.186 0.553
0.795 0.873 0.778
0.295 0.873 0.373
```

Summary:
DOS(E_F) in states/eV/cell: 7.484
ΔE to the lowest computed polymorph in kJ/mol of formula units: 14
Spin magnetization in μB/cell: 0.0
Final energy in eV per atom: -6.38
ΔE_f in meV per atom: 305
Symmetry: P1
V in Å³/atom: 27.92


# 4
Compound: BaPdW3
Source: the Alexandria database
Functional: GGA-PBE
Structure: relaxed

```
BaPdW3
1.0
-2.300 -4.351 -0.058
3.173 -1.632 -3.390
2.977 -1.621 3.568
Pd Ba W
1 1 3
direct
0.500 0.500 0.500
0.000 0.000 0.000
0.000 0.500 0.000
0.000 0.000 0.500
0.500 0.000 0.000
```

Summary:
DOS(E_F) in states/eV/cell: 6.893
ΔE to the lowest computed polymorph in kJ/mol of formula units: 789
Spin magnetization in μB/cell: 0.0
Final energy in eV per atom: -5.41
ΔE_f in meV per atom: 3783
Symmetry: Pm-3m
V in Å³/atom: 23.84


# 5
Compound: Ba2PdW
Source: the Alexandria database
Functional: GGA-PBE
Structure: relaxed

```
Ba2PdW
1.0
1.570 -2.990 4.520
-2.394 0.995 5.012
-3.530 -3.788 2.242
Pd Ba W
1 2 1
direct
0.000 0.000 0.000
0.250 0.250 0.250
0.750 0.750 0.750
0.500 0.500 0.500
```

Summary:
DOS(E_F) in states/eV/cell: 4.169
ΔE to the lowest computed polymorph in kJ/mol of formula units: 0
Spin magnetization in μB/cell: 4.0
Final energy in eV per atom: -4.56
ΔE_f in meV per atom: 938
Symmetry: Fm-3m
V in Å³/atom: 31.76


# 6
Compound: BaPdW
Source: the Alexandria database
Functional: GGA-PBE
Structure: relaxed

```
BaPdW
1.0
-0.616 -2.373 -3.614
5.670 -8.393 4.550
-3.492 -2.601 -0.335
Pd Ba W
2 2 2
direct
0.625 0.996 0.746
0.620 0.750 0.755
0.284 0.572 0.428
0.961 0.173 0.074
0.955 0.828 0.086
0.290 0.918 0.416
```

Summary:
DOS(E_F) in states/eV/cell: 7.415
ΔE to the lowest computed polymorph in kJ/mol of formula units: 3
Spin magnetization in μB/cell: 0.8
Final energy in eV per atom: -6.43
ΔE_f in meV per atom: 265
Symmetry: C2/m
V in Å³/atom: 30.56